Entry 1:
Computed, not measured: a PBEsol-optimized structure of Pr6S4BrN3 at the meta-GGA SCAN level of DFT.

```
data_Pr6S4BrN3
_chemical_formula_sum 'Pr24 S16 Br4 N12'
_symmetry_space_group_name_H-M 'P 1'
_symmetry_Int_Tables_number 1
_symmetry_space_group_name_Hall 'P 1'
_cell_length_a 11.391
_cell_length_b 4.027
_cell_length_c 27.215
_cell_angle_alpha 90.00
_cell_angle_beta 90.00
_cell_angle_gamma 90.00
loop_
_atom_site_label
_atom_site_type_symbol
_atom_site_fract_x
_atom_site_fract_y
_atom_site_fract_z
Pr1 Pr 0.058 0.250 0.078
Pr2 Pr 0.062 0.250 0.807
Pr3 Pr 0.100 0.250 0.536
Pr4 Pr 0.126 0.250 0.284
Pr5 Pr 0.246 0.750 0.171
Pr6 Pr 0.250 0.250 0.936
Pr7 Pr 0.250 0.750 0.436
Pr8 Pr 0.254 0.250 0.671
Pr9 Pr 0.374 0.750 0.784
Pr10 Pr 0.400 0.750 0.036
Pr11 Pr 0.438 0.750 0.307
Pr12 Pr 0.442 0.750 0.578
Pr13 Pr 0.558 0.250 0.422
Pr14 Pr 0.562 0.250 0.693
Pr15 Pr 0.600 0.250 0.964
Pr16 Pr 0.626 0.250 0.216
Pr17 Pr 0.746 0.750 0.329
Pr18 Pr 0.750 0.250 0.564
Pr19 Pr 0.750 0.750 0.064
Pr20 Pr 0.754 0.250 0.829
Pr21 Pr 0.874 0.750 0.716
Pr22 Pr 0.900 0.750 0.464
Pr23 Pr 0.938 0.750 0.193
Pr24 Pr 0.942 0.750 0.922
S1 S 0.135 0.750 0.735
S2 S 0.143 0.750 0.995
S3 S 0.189 0.750 0.863
S4 S 0.205 0.750 0.603
S5 S 0.295 0.250 0.103
S6 S 0.311 0.250 0.363
S7 S 0.357 0.250 0.495
S8 S 0.365 0.250 0.235
S9 S 0.635 0.750 0.765
S10 S 0.643 0.750 0.505
S11 S 0.689 0.750 0.637
S12 S 0.705 0.750 0.897
S13 S 0.795 0.250 0.397
S14 S 0.811 0.250 0.137
S15 S 0.857 0.250 0.005
S16 S 0.865 0.250 0.265
Br1 Br 0.039 0.750 0.363
Br2 Br 0.461 0.250 0.863
Br3 Br 0.539 0.750 0.137
Br4 Br 0.961 0.250 0.637
N1 N 0.063 0.750 0.125
N2 N 0.099 0.750 0.487
N3 N 0.114 0.750 0.238
N4 N 0.386 0.250 0.738
N5 N 0.401 0.250 0.987
N6 N 0.437 0.250 0.625
N7 N 0.563 0.750 0.375
N8 N 0.599 0.750 0.013
N9 N 0.614 0.750 0.262
N10 N 0.886 0.250 0.762
N11 N 0.901 0.250 0.513
N12 N 0.937 0.250 0.875
```

## Properties
- Final energy: -1501.525 eV per cell
- Uncorrected formation energy: -2.113 eV/atom
- Mass density: 5.83 g cm⁻³
- Symmetry: Pnma


Entry 2:
Computed, not measured: a PBEsol-optimized structure of RePt2BrN at the meta-GGA SCAN level of DFT.

```
data_RePt2BrN
_chemical_formula_sum 'Re1 Pt2 Br1 N1'
_symmetry_space_group_name_H-M 'P 1'
_symmetry_Int_Tables_number 1
_symmetry_space_group_name_Hall 'P 1'
_cell_length_a 4.656
_cell_length_b 4.656
_cell_length_c 4.638
_cell_angle_alpha 90.00
_cell_angle_beta 90.00
_cell_angle_gamma 90.00
loop_
_atom_site_label
_atom_site_type_symbol
_atom_site_fract_x
_atom_site_fract_y
_atom_site_fract_z
Re1 Re 0.000 0.000 0.000
Pt1 Pt 0.000 0.500 0.500
Pt2 Pt 0.500 0.000 0.500
Br1 Br 0.000 0.000 0.500
N1 N 0.500 0.500 0.000
```

## Properties
- Final energy: -225.758 eV per cell
- Uncorrected formation energy: 2.895 eV/atom
- Mass density: 11.07 g cm⁻³
- Symmetry: P4/mmm


Entry 3:
Computed, not measured: a PBEsol-optimized structure of SiPt2BrN at the meta-GGA SCAN level of DFT.

```
data_SiPt2BrN
_chemical_formula_sum 'Si1 Pt2 Br1 N1'
_symmetry_space_group_name_H-M 'P 1'
_symmetry_Int_Tables_number 1
_symmetry_space_group_name_Hall 'P 1'
_cell_length_a 4.489
_cell_length_b 4.489
_cell_length_c 5.209
_cell_angle_alpha 90.00
_cell_angle_beta 90.00
_cell_angle_gamma 90.00
loop_
_atom_site_label
_atom_site_type_symbol
_atom_site_fract_x
_atom_site_fract_y
_atom_site_fract_z
Si1 Si 0.000 0.000 0.000
Pt1 Pt 0.000 0.500 0.000
Pt2 Pt 0.500 0.000 0.000
Br1 Br 0.000 0.000 0.500
N1 N 0.500 0.500 0.500
```

## Properties
- Final energy: -172.481 eV per cell
- Uncorrected formation energy: 1.334 eV/atom
- Mass density: 8.10 g cm⁻³
- Symmetry: P4/mmm


Entry 4:
Computed, not measured: a PBEsol-optimized structure of RhBr3N at the meta-GGA SCAN level of DFT.

```
data_RhBr3N
_chemical_formula_sum 'Rh1 Br3 N1'
_symmetry_space_group_name_H-M 'P 1'
_symmetry_Int_Tables_number 1
_symmetry_space_group_name_Hall 'P 1'
_cell_length_a 4.536
_cell_length_b 4.536
_cell_length_c 4.536
_cell_angle_alpha 90.00
_cell_angle_beta 90.00
_cell_angle_gamma 90.00
loop_
_atom_site_label
_atom_site_type_symbol
_atom_site_fract_x
_atom_site_fract_y
_atom_site_fract_z
Rh1 Rh 0.000 0.000 0.000
Br1 Br 0.000 0.500 0.500
Br2 Br 0.500 0.000 0.500
Br3 Br 0.500 0.500 0.000
N1 N 0.500 0.500 0.500
```

## Properties
- Final energy: -94.658 eV per cell
- Uncorrected formation energy: 1.357 eV/atom
- Mass density: 6.35 g cm⁻³
- Symmetry: Pm-3m


Entry 5:
Computed, not measured: a PBEsol-optimized structure of RhSeBr2N at the meta-GGA SCAN level of DFT.

```
data_RhSeBr2N
_chemical_formula_sum 'Rh1 Se1 Br2 N1'
_symmetry_space_group_name_H-M 'P 1'
_symmetry_Int_Tables_number 1
_symmetry_space_group_name_Hall 'P 1'
_cell_length_a 4.509
_cell_length_b 4.509
_cell_length_c 4.255
_cell_angle_alpha 90.00
_cell_angle_beta 90.00
_cell_angle_gamma 90.00
loop_
_atom_site_label
_atom_site_type_symbol
_atom_site_fract_x
_atom_site_fract_y
_atom_site_fract_z
Rh1 Rh 0.000 0.000 0.000
Se1 Se 0.500 0.500 0.000
Br1 Br 0.000 0.500 0.500
Br2 Br 0.500 0.000 0.500
N1 N 0.500 0.500 0.500
```

## Properties
- Final energy: -95.119 eV per cell
- Uncorrected formation energy: 1.388 eV/atom
- Mass density: 6.83 g cm⁻³
- Symmetry: P4/mmm


Entry 6:
Computed, not measured: a PBEsol-optimized structure of TlRuBrN2 at the meta-GGA SCAN level of DFT.

```
data_TlRuBrN2
_chemical_formula_sum 'Tl1 Ru1 Br1 N2'
_symmetry_space_group_name_H-M 'P 1'
_symmetry_Int_Tables_number 1
_symmetry_space_group_name_Hall 'P 1'
_cell_length_a 3.849
_cell_length_b 3.849
_cell_length_c 5.721
_cell_angle_alpha 90.00
_cell_angle_beta 90.00
_cell_angle_gamma 90.00
loop_
_atom_site_label
_atom_site_type_symbol
_atom_site_fract_x
_atom_site_fract_y
_atom_site_fract_z
Tl1 Tl 0.000 0.000 0.000
Ru1 Ru 0.000 0.000 0.500
Br1 Br 0.500 0.500 0.000
N1 N 0.000 0.500 0.500
N2 N 0.500 0.000 0.500
```

## Properties
- Final energy: -141.964 eV per cell
- Uncorrected formation energy: 0.652 eV/atom
- Mass density: 8.10 g cm⁻³
- Symmetry: P4/mmm


Entry 7:
Computed, not measured: a PBEsol-optimized structure of TcS2BrN at the meta-GGA SCAN level of DFT.

```
data_TcS2BrN
_chemical_formula_sum 'Tc1 S2 Br1 N1'
_symmetry_space_group_name_H-M 'P 1'
_symmetry_Int_Tables_number 1
_symmetry_space_group_name_Hall 'P 1'
_cell_length_a 4.864
_cell_length_b 4.864
_cell_length_c 3.597
_cell_angle_alpha 90.00
_cell_angle_beta 90.00
_cell_angle_gamma 90.00
loop_
_atom_site_label
_atom_site_type_symbol
_atom_site_fract_x
_atom_site_fract_y
_atom_site_fract_z
Tc1 Tc 0.000 0.000 0.000
S1 S 0.000 0.500 0.500
S2 S 0.500 0.000 0.500
Br1 Br 0.500 0.500 0.500
N1 N 0.500 0.500 0.000
```

## Properties
- Final energy: -73.713 eV per cell
- Uncorrected formation energy: 1.871 eV/atom
- Mass density: 5.00 g cm⁻³
- Symmetry: P4/mmm


Entry 8:
Computed, not measured: a PBEsol-optimized structure of TlSBrN2 at the meta-GGA SCAN level of DFT.

```
data_TlSBrN2
_chemical_formula_sum 'Tl1 S1 Br1 N2'
_symmetry_space_group_name_H-M 'P 1'
_symmetry_Int_Tables_number 1
_symmetry_space_group_name_Hall 'P 1'
_cell_length_a 4.249
_cell_length_b 4.249
_cell_length_c 5.667
_cell_angle_alpha 90.00
_cell_angle_beta 90.00
_cell_angle_gamma 90.00
loop_
_atom_site_label
_atom_site_type_symbol
_atom_site_fract_x
_atom_site_fract_y
_atom_site_fract_z
Tl1 Tl 0.000 0.000 0.000
S1 S 0.000 0.000 0.500
Br1 Br 0.500 0.500 0.500
N1 N 0.000 0.500 0.000
N2 N 0.500 0.000 0.000
```

## Properties
- Final energy: -110.830 eV per cell
- Uncorrected formation energy: 1.840 eV/atom
- Mass density: 5.59 g cm⁻³
- Symmetry: P4/mmm